1.
Entry from the Alexandria database: crystalline ThAl3Ag10 at its relaxed geometry (PBE).

```
ThAl3Ag10
1.0
0.000 6.557 6.557
6.557 0.000 6.557
6.557 6.557 0.000
Th Al Ag
2 6 20
direct
0.250 0.250 0.250
0.750 0.750 0.750
0.237 0.237 0.763
0.237 0.763 0.237
0.237 0.763 0.763
0.763 0.237 0.237
0.763 0.237 0.763
0.763 0.763 0.237
0.116 0.116 0.116
0.116 0.116 0.653
0.116 0.653 0.116
0.154 0.500 0.500
0.154 0.500 0.846
0.154 0.846 0.500
0.347 0.884 0.884
0.500 0.154 0.500
0.500 0.154 0.846
0.500 0.500 0.154
0.500 0.500 0.846
0.500 0.846 0.154
0.500 0.846 0.500
0.653 0.116 0.116
0.846 0.154 0.500
0.846 0.500 0.154
0.846 0.500 0.500
0.884 0.347 0.884
0.884 0.884 0.347
0.884 0.884 0.884
```

## Properties
Formation enthalpy at 0 K   0.09 eV per atom
D(E_F)   14.77 states/eV/cell
SG   Fm-3m, No. 225
M_tot   0.0 μB per cell

***

2.
Entry from the Alexandria database: crystalline Ca2GeTe2 at its relaxed geometry (PBE).

```
Ca2GeTe2
1.0
-2.140 2.140 8.596
2.140 -2.140 8.596
2.140 2.140 -8.596
Ca Ge Te
2 1 2
direct
0.102 0.102 0.000
0.898 0.898 0.000
0.500 0.500 0.000
0.250 0.750 0.500
0.750 0.250 0.500
```

## Properties
D(E_F)   3.11 states/eV/cell
SG   I4/mmm, No. 139
Energy above the most stable polymorph in this dataset   2.09 eV/f.u.
M_tot   0.0 μB per cell

***

3.
Entry from the Alexandria database: crystalline SiNiP at its relaxed geometry (PBE).

```
SiNiP
1.0
3.302 0.000 0.000
0.000 1.272 5.048
0.000 -1.272 5.048
Si Ni P
1 1 1
direct
0.000 0.000 0.000
0.500 0.388 0.388
0.000 0.229 0.229
```

## Properties
D(E_F)   1.13 states/eV/cell
SG   Amm2, No. 38
Total DFT energy (no corrections)   -5.70 eV/atom
M_tot   0.0 μB per cell

***

4.
Entry from the Alexandria database: crystalline PIrBr2 at its relaxed geometry (PBE).

```
PIrBr2
1.0
-5.134 5.134 2.203
5.134 -5.134 2.203
5.134 5.134 -2.203
P Ir Br
2 2 4
direct
0.000 0.000 0.000
0.750 0.250 0.500
0.250 0.750 0.500
0.500 0.500 0.000
0.321 0.625 0.196
0.375 0.571 0.696
0.429 0.125 0.804
0.875 0.679 0.304
```

## Properties
D(E_F)   5.61 states/eV/cell
SG   I-42d, No. 122
Energy above the most stable polymorph in this dataset   2.69 eV/f.u.
M_tot   0.0 μB per cell

***

5.
Entry from the Alexandria database: crystalline Nd4TlAgHg2 at its relaxed geometry (PBE).

```
Nd4TlAgHg2
1.0
2.708 1.563 8.885
-2.708 1.563 8.885
0.000 -3.127 8.885
Nd Tl Ag Hg
4 1 1 2
direct
0.122 0.122 0.122
0.372 0.372 0.372
0.628 0.628 0.628
0.878 0.878 0.878
0.500 0.500 0.500
0.000 0.000 0.000
0.248 0.248 0.248
0.752 0.752 0.752
```

## Properties
Formation enthalpy at 0 K   -0.39 eV per atom
D(E_F)   9.19 states/eV/cell
SG   R-3m, No. 166
M_tot   1.6 μB per cell

***

6.
Entry from the Alexandria database: crystalline LiScBeCd at its relaxed geometry (PBE).

```
LiScBeCd
1.0
0.000 3.163 3.163
3.163 0.000 3.163
3.163 3.163 0.000
Li Sc Be Cd
1 1 1 1
direct
0.000 0.000 0.000
0.250 0.250 0.250
0.500 0.500 0.500
0.750 0.750 0.750
```

## Properties
Formation enthalpy at 0 K   -0.09 eV per atom
D(E_F)   0.83 states/eV/cell
SG   F-43m, No. 216
M_tot   0.0 μB per cell

***

7.
Entry from the Alexandria database: crystalline ZnFe2Br at its relaxed geometry (PBE).

```
ZnFe2Br
1.0
2.752 -3.965 0.000
2.752 3.965 0.000
-0.535 0.000 2.894
Zn Fe Br
1 2 1
direct
0.000 0.000 0.000
0.000 0.500 0.500
0.500 0.000 0.500
0.500 0.500 0.000
```

## Properties
D(E_F)   3.37 states/eV/cell
SG   C2/m, No. 12
Energy above the most stable polymorph in this dataset   1.54 eV/f.u.
M_tot   5.9 μB per cell

***

8.
Entry from the Alexandria database: crystalline Ba2IrI2 at its relaxed geometry (PBE).

```
Ba2IrI2
1.0
-2.567 2.567 8.336
2.567 -2.567 8.336
2.567 2.567 -8.336
Ba Ir I
2 1 2
direct
0.113 0.113 0.000
0.887 0.887 0.000
0.500 0.500 0.000
0.250 0.750 0.500
0.750 0.250 0.500
```

## Properties
D(E_F)   1.45 states/eV/cell
SG   I4/mmm, No. 139
Energy above the most stable polymorph in this dataset   1.78 eV/f.u.
M_tot   1.0 μB per cell